## TlWN2F (PBE+U)

Data for a relaxed structure of TlWN2F. Values from VASP.

```
&SYSTEM
  ibrav = 0, nat = 5, ntyp = 4
/
ATOMIC_SPECIES
Tl 204.38 Tl.upf
W 183.84 W.upf
N 14.01 N.upf
F 19.00 F.upf
ATOMIC_POSITIONS angstrom
Tl 0.000 0.000 0.000
W 2.015 2.015 2.203
N 0.000 2.015 2.203
N 2.015 0.000 2.203
F 2.015 2.015 0.000
CELL_PARAMETERS angstrom
4.031 0.000 0.000
0.000 4.031 0.000
0.000 0.000 4.406
```

crystal system: tetragonal
ΔE to the lowest computed polymorph: 0.00 eV/f.u.